A | Here is a geometry-optimized Li2Pd2Rh structure from Alexandria. Energies are from PBE. Values from VASP.

```
&SYSTEM
  ibrav = 0, nat = 10, ntyp = 3
/
ATOMIC_SPECIES
Li 6.94 Li.upf
Pd 106.42 Pd.upf
Rh 102.91 Rh.upf
CELL_PARAMETERS angstrom
6.884 0.000 0.000
0.000 6.884 0.000
0.000 0.000 2.786
ATOMIC_POSITIONS crystal
Li 0.119 0.381 0.000
Li 0.381 0.881 0.000
Li 0.619 0.119 0.000
Li 0.881 0.619 0.000
Pd 0.184 0.684 0.500
Pd 0.316 0.184 0.500
Pd 0.684 0.816 0.500
Pd 0.816 0.316 0.500
Rh 0.000 0.000 0.000
Rh 0.500 0.500 0.000
```

## Properties
Total moment: 0.000 μB per atom
Crystal system: tetragonal
V: 13.20 Å³ per atom

B | Here is a geometry-optimized Li2Pd2Rh structure from Alexandria. Energies are from PBE. Values from VASP.

```
&SYSTEM
  ibrav = 0, nat = 10, ntyp = 3
/
ATOMIC_SPECIES
Li 6.94 Li.upf
Pd 106.42 Pd.upf
Rh 102.91 Rh.upf
CELL_PARAMETERS angstrom
7.137 0.000 0.000
0.000 7.137 0.000
0.000 0.000 2.749
ATOMIC_POSITIONS crystal
Li 0.161 0.339 0.000
Li 0.339 0.839 0.000
Li 0.661 0.161 0.000
Li 0.839 0.661 0.000
Pd 0.139 0.639 0.500
Pd 0.361 0.139 0.500
Pd 0.639 0.861 0.500
Pd 0.861 0.361 0.500
Rh 0.000 0.000 0.500
Rh 0.500 0.500 0.500
```

## Properties
Total moment: 0.181 μB per atom
Crystal system: tetragonal
V: 14.00 Å³ per atom

Least stable structure: B

A | Here is a geometry-optimized Li8Pd2Rh structure from Alexandria. Energies are from PBE. Values from VASP.

```
&SYSTEM
  ibrav = 0, nat = 11, ntyp = 3
/
ATOMIC_SPECIES
Li 6.94 Li.upf
Pd 106.42 Pd.upf
Rh 102.91 Rh.upf
CELL_PARAMETERS angstrom
4.947 -4.469 0.000
4.947 4.469 0.000
-1.078 0.000 4.361
ATOMIC_POSITIONS crystal
Li 0.083 0.083 0.304
Li 0.147 0.629 0.142
Li 0.362 0.362 0.469
Li 0.371 0.853 0.858
Li 0.629 0.147 0.142
Li 0.638 0.638 0.531
Li 0.853 0.371 0.858
Li 0.917 0.917 0.696
Pd 0.223 0.223 0.890
Pd 0.777 0.777 0.110
Rh 0.500 0.500 0.000
```

## Properties
Total moment: 0.000 μB per atom
Crystal system: monoclinic
V: 17.53 Å³ per atom

B | Here is a geometry-optimized Li8Pd2Rh structure from Alexandria. Energies are from PBE. Values from VASP.

```
&SYSTEM
  ibrav = 0, nat = 11, ntyp = 3
/
ATOMIC_SPECIES
Li 6.94 Li.upf
Pd 106.42 Pd.upf
Rh 102.91 Rh.upf
CELL_PARAMETERS angstrom
-2.201 3.667 5.104
2.201 -3.667 5.104
2.201 3.667 -5.104
ATOMIC_POSITIONS crystal
Li 0.133 0.133 0.000
Li 0.153 0.350 0.802
Li 0.310 0.000 0.310
Li 0.452 0.650 0.802
Li 0.548 0.350 0.198
Li 0.690 0.000 0.690
Li 0.847 0.650 0.198
Li 0.867 0.867 0.000
Pd 0.275 0.775 0.500
Pd 0.725 0.225 0.500
Rh 0.000 0.500 0.500
```

## Properties
Total moment: 0.000 μB per atom
Crystal system: orthorhombic
V: 14.98 Å³ per atom

Least stable structure: A

A | Here is a geometry-optimized Li3PdRh structure from Alexandria. Energies are from PBE. Values from VASP.

```
&SYSTEM
  ibrav = 0, nat = 5, ntyp = 3
/
ATOMIC_SPECIES
Li 6.94 Li.upf
Pd 106.42 Pd.upf
Rh 102.91 Rh.upf
CELL_PARAMETERS angstrom
4.408 0.000 0.000
0.000 4.408 0.000
0.000 0.000 4.408
ATOMIC_POSITIONS crystal
Li 0.000 0.000 0.500
Li 0.000 0.500 0.000
Li 0.500 0.000 0.000
Pd 0.500 0.500 0.500
Rh 0.000 0.000 0.000
```

## Properties
Total moment: 0.000 μB per atom
Crystal system: cubic
V: 17.13 Å³ per atom

B | Here is a geometry-optimized Li3PdRh structure from Alexandria. Energies are from PBE. Values from VASP.

```
&SYSTEM
  ibrav = 0, nat = 10, ntyp = 3
/
ATOMIC_SPECIES
Li 6.94 Li.upf
Pd 106.42 Pd.upf
Rh 102.91 Rh.upf
CELL_PARAMETERS angstrom
2.327 1.343 8.082
-2.327 1.343 8.082
0.000 -2.686 8.082
ATOMIC_POSITIONS crystal
Li 0.096 0.749 0.401
Li 0.251 0.599 0.904
Li 0.401 0.096 0.749
Li 0.599 0.904 0.251
Li 0.749 0.401 0.096
Li 0.904 0.251 0.599
Pd 0.168 0.168 0.168
Pd 0.832 0.832 0.832
Rh 0.332 0.332 0.332
Rh 0.668 0.668 0.668
```

## Properties
Total moment: 0.000 μB per atom
Crystal system: trigonal
V: 15.15 Å³ per atom

Least stable structure: A

A | Here is a geometry-optimized Li2Pd6Rh structure from Alexandria. Energies are from PBE. Values from VASP.

```
&SYSTEM
  ibrav = 0, nat = 9, ntyp = 3
/
ATOMIC_SPECIES
Li 6.94 Li.upf
Pd 106.42 Pd.upf
Rh 102.91 Rh.upf
CELL_PARAMETERS angstrom
-2.268 3.695 4.061
2.268 -3.695 4.061
2.268 3.695 -4.061
ATOMIC_POSITIONS crystal
Li 0.172 0.172 0.000
Li 0.828 0.828 0.000
Pd 0.021 0.334 0.687
Pd 0.308 0.000 0.308
Pd 0.353 0.666 0.687
Pd 0.647 0.334 0.313
Pd 0.692 0.000 0.692
Pd 0.979 0.666 0.313
Rh 0.500 0.500 0.000
```

## Properties
Total moment: 0.000 μB per atom
Crystal system: orthorhombic
V: 15.13 Å³ per atom

B | Here is a geometry-optimized Li2Pd6Rh structure from Alexandria. Energies are from PBE. Values from VASP.

```
&SYSTEM
  ibrav = 0, nat = 9, ntyp = 3
/
ATOMIC_SPECIES
Li 6.94 Li.upf
Pd 106.42 Pd.upf
Rh 102.91 Rh.upf
CELL_PARAMETERS angstrom
6.690 -2.656 0.000
6.690 2.656 0.000
-1.280 0.000 3.944
ATOMIC_POSITIONS crystal
Li 0.163 0.163 0.163
Li 0.837 0.837 0.837
Pd 0.149 0.644 0.397
Pd 0.290 0.290 0.791
Pd 0.356 0.851 0.603
Pd 0.644 0.149 0.397
Pd 0.710 0.710 0.209
Pd 0.851 0.356 0.603
Rh 0.500 0.500 0.000
```

## Properties
Total moment: 0.255 μB per atom
Crystal system: monoclinic
V: 15.57 Å³ per atom

Least stable structure: B

A | Here is a geometry-optimized Li2PdRh2 structure from Alexandria. Energies are from PBE. Values from VASP.

```
&SYSTEM
  ibrav = 0, nat = 5, ntyp = 3
/
ATOMIC_SPECIES
Li 6.94 Li.upf
Pd 106.42 Pd.upf
Rh 102.91 Rh.upf
CELL_PARAMETERS angstrom
-1.512 1.512 7.471
1.512 -1.512 7.471
1.512 1.512 -7.471
ATOMIC_POSITIONS crystal
Li 0.250 0.750 0.500
Li 0.750 0.250 0.500
Pd 0.000 0.000 0.000
Rh 0.390 0.390 0.000
Rh 0.610 0.610 0.000
```

## Properties
Total moment: 0.000 μB per atom
Crystal system: tetragonal
V: 13.67 Å³ per atom

B | Here is a geometry-optimized Li2PdRh2 structure from Alexandria. Energies are from PBE. Values from VASP.

```
&SYSTEM
  ibrav = 0, nat = 10, ntyp = 3
/
ATOMIC_SPECIES
Li 6.94 Li.upf
Pd 106.42 Pd.upf
Rh 102.91 Rh.upf
CELL_PARAMETERS angstrom
7.057 0.000 0.000
0.000 7.057 0.000
0.000 0.000 2.763
ATOMIC_POSITIONS crystal
Li 0.173 0.327 0.000
Li 0.327 0.827 0.000
Li 0.673 0.173 0.000
Li 0.827 0.673 0.000
Pd 0.000 0.000 0.500
Pd 0.500 0.500 0.500
Rh 0.125 0.625 0.500
Rh 0.375 0.125 0.500
Rh 0.625 0.875 0.500
Rh 0.875 0.375 0.500
```

## Properties
Total moment: 0.005 μB per atom
Crystal system: tetragonal
V: 13.76 Å³ per atom

C | Here is a geometry-optimized Li2PdRh2 structure from Alexandria. Energies are from PBE. Values from VASP.

```
&SYSTEM
  ibrav = 0, nat = 10, ntyp = 3
/
ATOMIC_SPECIES
Li 6.94 Li.upf
Pd 106.42 Pd.upf
Rh 102.91 Rh.upf
CELL_PARAMETERS angstrom
6.736 0.000 0.000
0.000 6.736 0.000
0.000 0.000 2.837
ATOMIC_POSITIONS crystal
Li 0.117 0.383 0.000
Li 0.383 0.883 0.000
Li 0.617 0.117 0.000
Li 0.883 0.617 0.000
Pd 0.000 0.000 0.000
Pd 0.500 0.500 0.000
Rh 0.185 0.685 0.500
Rh 0.315 0.185 0.500
Rh 0.685 0.815 0.500
Rh 0.815 0.315 0.500
```

## Properties
Total moment: 0.000 μB per atom
Crystal system: tetragonal
V: 12.87 Å³ per atom

Least stable structure: A

A | Here is a geometry-optimized LiTbPdRh structure from Alexandria. Energies are from PBE. Values from VASP.

```
&SYSTEM
  ibrav = 0, nat = 4, ntyp = 4
/
ATOMIC_SPECIES
Li 6.94 Li.upf
Tb 158.93 Tb.upf
Pd 106.42 Pd.upf
Rh 102.91 Rh.upf
CELL_PARAMETERS angstrom
0.000 3.269 3.269
3.269 0.000 3.269
3.269 3.269 0.000
ATOMIC_POSITIONS crystal
Li 0.000 0.000 0.000
Tb 0.500 0.500 0.500
Pd 0.750 0.750 0.750
Rh 0.250 0.250 0.250
```

## Properties
Total moment: 0.000 μB per atom
Crystal system: cubic
V: 17.47 Å³ per atom

B | Here is a geometry-optimized LiTbPdRh structure from Alexandria. Energies are from PBE. Values from VASP.

```
&SYSTEM
  ibrav = 0, nat = 4, ntyp = 4
/
ATOMIC_SPECIES
Li 6.94 Li.upf
Tb 158.93 Tb.upf
Pd 106.42 Pd.upf
Rh 102.91 Rh.upf
CELL_PARAMETERS angstrom
3.780 0.000 0.000
0.000 4.127 0.000
0.000 0.000 4.403
ATOMIC_POSITIONS crystal
Li 0.000 0.000 0.000
Tb 0.000 0.500 0.500
Pd 0.500 0.500 0.000
Rh 0.500 0.000 0.500
```

## Properties
Total moment: 0.000 μB per atom
Crystal system: orthorhombic
V: 17.17 Å³ per atom

Least stable structure: A

A | Here is a geometry-optimized LiPd3S structure from Alexandria. Energies are from PBE. Values from VASP.

```
&SYSTEM
  ibrav = 0, nat = 5, ntyp = 3
/
ATOMIC_SPECIES
Li 6.94 Li.upf
Pd 106.42 Pd.upf
S 32.06 S.upf
CELL_PARAMETERS angstrom
4.290 0.000 0.000
0.000 4.290 0.000
0.000 0.000 4.290
ATOMIC_POSITIONS crystal
Li 0.000 0.000 0.000
Pd 0.000 0.000 0.500
Pd 0.000 0.500 0.000
Pd 0.500 0.000 0.000
S 0.500 0.500 0.500
```

## Properties
Total moment: 0.000 μB per atom
Crystal system: cubic
V: 15.80 Å³ per atom

B | Here is a geometry-optimized LiPd3S structure from Alexandria. Energies are from PBE. Values from VASP.

```
&SYSTEM
  ibrav = 0, nat = 5, ntyp = 3
/
ATOMIC_SPECIES
Li 6.94 Li.upf
Pd 106.42 Pd.upf
S 32.06 S.upf
CELL_PARAMETERS angstrom
4.511 0.000 0.000
0.000 4.511 0.000
0.000 0.000 4.511
ATOMIC_POSITIONS crystal
Li 0.000 0.000 0.000
Pd 0.000 0.500 0.500
Pd 0.500 0.000 0.500
Pd 0.500 0.500 0.000
S 0.500 0.500 0.500
```

## Properties
Total moment: 0.000 μB per atom
Crystal system: cubic
V: 18.35 Å³ per atom

Least stable structure: A

A | Here is a geometry-optimized Li3PdS structure from Alexandria. Energies are from PBE. Values from VASP.

```
&SYSTEM
  ibrav = 0, nat = 5, ntyp = 3
/
ATOMIC_SPECIES
Li 6.94 Li.upf
Pd 106.42 Pd.upf
S 32.06 S.upf
CELL_PARAMETERS angstrom
4.507 0.000 0.000
0.000 4.507 0.000
0.000 0.000 4.507
ATOMIC_POSITIONS crystal
Li 0.000 0.000 0.500
Li 0.000 0.500 0.000
Li 0.500 0.000 0.000
Pd 0.500 0.500 0.500
S 0.000 0.000 0.000
```

## Properties
Total moment: 0.000 μB per atom
Crystal system: cubic
V: 18.30 Å³ per atom

B | Here is a geometry-optimized Li3PdS structure from Alexandria. Energies are from PBE. Values from VASP.

```
&SYSTEM
  ibrav = 0, nat = 5, ntyp = 3
/
ATOMIC_SPECIES
Li 6.94 Li.upf
Pd 106.42 Pd.upf
S 32.06 S.upf
CELL_PARAMETERS angstrom
4.560 0.000 0.000
0.000 4.560 0.000
0.000 0.000 4.560
ATOMIC_POSITIONS crystal
Li 0.000 0.000 0.500
Li 0.000 0.500 0.000
Li 0.500 0.000 0.000
Pd 0.000 0.000 0.000
S 0.500 0.500 0.500
```

## Properties
Total moment: 0.000 μB per atom
Crystal system: cubic
V: 18.97 Å³ per atom

Least stable structure: B

A | Here is a geometry-optimized Li2SbPd2 structure from Alexandria. Energies are from PBE. Values from VASP.

```
&SYSTEM
  ibrav = 0, nat = 10, ntyp = 3
/
ATOMIC_SPECIES
Li 6.94 Li.upf
Sb 121.76 Sb.upf
Pd 106.42 Pd.upf
CELL_PARAMETERS angstrom
6.909 0.000 0.000
0.000 6.909 0.000
0.000 0.000 3.222
ATOMIC_POSITIONS crystal
Li 0.122 0.378 0.000
Li 0.378 0.878 0.000
Li 0.622 0.122 0.000
Li 0.878 0.622 0.000
Sb 0.000 0.000 0.000
Sb 0.500 0.500 0.000
Pd 0.178 0.678 0.500
Pd 0.322 0.178 0.500
Pd 0.678 0.822 0.500
Pd 0.822 0.322 0.500
```

## Properties
Total moment: 0.000 μB per atom
Crystal system: tetragonal
V: 15.38 Å³ per atom

B | Here is a geometry-optimized Li2SbPd2 structure from Alexandria. Energies are from PBE. Values from VASP.

```
&SYSTEM
  ibrav = 0, nat = 5, ntyp = 3
/
ATOMIC_SPECIES
Li 6.94 Li.upf
Sb 121.76 Sb.upf
Pd 106.42 Pd.upf
CELL_PARAMETERS angstrom
4.542 0.000 0.000
-2.271 3.934 0.000
0.000 0.000 5.187
ATOMIC_POSITIONS crystal
Li 0.333 0.667 0.372
Li 0.667 0.333 0.628
Sb 0.000 0.000 0.000
Pd 0.333 0.667 0.880
Pd 0.667 0.333 0.120
```

## Properties
Total moment: 0.000 μB per atom
Crystal system: trigonal
V: 18.54 Å³ per atom

Least stable structure: A

A | Here is a geometry-optimized Li2SbPd2 structure from Alexandria. Energies are from PBE. Values from VASP.

```
&SYSTEM
  ibrav = 0, nat = 10, ntyp = 3
/
ATOMIC_SPECIES
Li 6.94 Li.upf
Sb 121.76 Sb.upf
Pd 106.42 Pd.upf
CELL_PARAMETERS angstrom
7.004 0.000 0.000
0.000 7.004 0.000
0.000 0.000 3.372
ATOMIC_POSITIONS crystal
Li 0.151 0.349 0.000
Li 0.349 0.849 0.000
Li 0.651 0.151 0.000
Li 0.849 0.651 0.000
Sb 0.000 0.000 0.500
Sb 0.500 0.500 0.500
Pd 0.147 0.647 0.500
Pd 0.353 0.147 0.500
Pd 0.647 0.853 0.500
Pd 0.853 0.353 0.500
```

## Properties
Total moment: 0.000 μB per atom
Crystal system: tetragonal
V: 16.54 Å³ per atom

B | Here is a geometry-optimized Li2SbPd2 structure from Alexandria. Energies are from PBE. Values from VASP.

```
&SYSTEM
  ibrav = 0, nat = 5, ntyp = 3
/
ATOMIC_SPECIES
Li 6.94 Li.upf
Sb 121.76 Sb.upf
Pd 106.42 Pd.upf
CELL_PARAMETERS angstrom
3.860 -2.214 0.000
3.860 2.214 0.000
-2.594 0.000 4.667
ATOMIC_POSITIONS crystal
Li 0.202 0.202 0.107
Li 0.798 0.798 0.893
Sb 0.000 0.000 0.500
Pd 0.397 0.397 0.693
Pd 0.603 0.603 0.307
```

## Properties
Total moment: 0.000 μB per atom
Crystal system: monoclinic
V: 15.95 Å³ per atom

Least stable structure: A

A | Here is a geometry-optimized Li2Sb2Pd3 structure from Alexandria. Energies are from PBE. Values from VASP.

```
&SYSTEM
  ibrav = 0, nat = 7, ntyp = 3
/
ATOMIC_SPECIES
Li 6.94 Li.upf
Sb 121.76 Sb.upf
Pd 106.42 Pd.upf
CELL_PARAMETERS angstrom
4.540 0.000 0.000
-2.231 3.988 0.000
-0.051 -2.582 6.732
ATOMIC_POSITIONS crystal
Li 0.135 0.273 0.407
Li 0.865 0.727 0.593
Sb 0.411 0.824 0.234
Sb 0.589 0.176 0.766
Pd 0.000 0.000 0.000
Pd 0.271 0.543 0.814
Pd 0.729 0.457 0.186
```

## Properties
Total moment: 0.000 μB per atom
Crystal system: triclinic
V: 17.41 Å³ per atom

B | Here is a geometry-optimized Li2Sb2Pd3 structure from Alexandria. Energies are from PBE. Values from VASP.

```
&SYSTEM
  ibrav = 0, nat = 7, ntyp = 3
/
ATOMIC_SPECIES
Li 6.94 Li.upf
Sb 121.76 Sb.upf
Pd 106.42 Pd.upf
CELL_PARAMETERS angstrom
4.813 -2.023 0.000
4.813 2.023 0.000
-1.323 0.000 6.329
ATOMIC_POSITIONS crystal
Li 0.086 0.086 0.206
Li 0.914 0.914 0.794
Sb 0.185 0.185 0.685
Sb 0.815 0.815 0.315
Pd 0.365 0.365 0.063
Pd 0.500 0.500 0.500
Pd 0.635 0.635 0.937
```

## Properties
Total moment: 0.000 μB per atom
Crystal system: monoclinic
V: 17.61 Å³ per atom

Least stable structure: B